# 1
# PBE BaAgSb2Au, relaxed
data_BaAgSb2Au
_cell_length_a 4.885
_cell_length_b 4.885
_cell_length_c 11.792
_cell_angle_alpha 90.00
_cell_angle_beta 90.00
_cell_angle_gamma 90.00
_symmetry_space_group_name_H-M 'I -4 m 2'
_symmetry_Int_Tables_number 119
_symmetry_space_group_name_Hall 'I -4 -2'
loop_
_atom_site_label
_atom_site_fract_x
_atom_site_fract_y
_atom_site_fract_z
_atom_site_occupancy
Ba1 0.000 0.000 0.000 1
Ag1 0.000 0.500 0.750 1
Sb1 0.000 0.000 0.374 1
Au1 0.000 0.500 0.250 1
# Formation energy (no corrections) ... -48 kJ/mol of atoms
# Magnetic moment ... 0.0 μB per cell


# 2
# PBE Ba2AgSb4Au3, relaxed
data_Ba2AgSb4Au3
_cell_length_a 4.940
_cell_length_b 4.940
_cell_length_c 11.318
_cell_angle_alpha 90.00
_cell_angle_beta 90.00
_cell_angle_gamma 90.00
_symmetry_space_group_name_H-M 'P -4 m 2'
_symmetry_Int_Tables_number 115
loop_
_symmetry_equiv_pos_as_xyz
'x,y,z'
'y,-x,-z'
'-x,-y,z'
'-y,x,-z'
'-x,y,z'
'-y,-x,-z'
'x,-y,z'
'y,x,-z'
loop_
_atom_site_label
_atom_site_fract_x
_atom_site_fract_y
_atom_site_fract_z
_atom_site_occupancy
Ba1 0.000 0.500 0.244 1
Ag1 0.500 0.500 0.000 1
Sb1 0.000 0.000 0.500 1
Sb2 0.000 0.500 0.871 1
Sb3 0.500 0.500 0.500 1
Au1 0.000 0.000 0.000 1
Au2 0.000 0.500 0.629 1
# Formation energy (no corrections) ... -56 kJ/mol of atoms
# Magnetic moment ... 0.0 μB per cell


# 3
# PBE Ba2Ag3Sb4Au, relaxed
data_Ba2Ag3Sb4Au
_cell_length_a 4.931
_cell_length_b 4.931
_cell_length_c 11.433
_cell_angle_alpha 90.00
_cell_angle_beta 90.00
_cell_angle_gamma 90.00
_symmetry_space_group_name_H-M 'P -4 m 2'
_symmetry_Int_Tables_number 115
loop_
_symmetry_equiv_pos_as_xyz
'x,y,z'
'y,-x,-z'
'-x,-y,z'
'-y,x,-z'
'-x,y,z'
'-y,-x,-z'
'x,-y,z'
'y,x,-z'
loop_
_atom_site_label
_atom_site_fract_x
_atom_site_fract_y
_atom_site_fract_z
_atom_site_occupancy
Ba1 0.000 0.500 0.241 1
Ag1 0.000 0.000 0.000 1
Ag2 0.000 0.500 0.631 1
Sb1 0.000 0.000 0.500 1
Sb2 0.000 0.500 0.872 1
Sb3 0.500 0.500 0.500 1
Au1 0.500 0.500 0.000 1
# Formation energy (no corrections) ... -49 kJ/mol of atoms
# Magnetic moment ... 0.0 μB per cell


# 4
# PBE BaAgAuSe2, relaxed
data_BaAgAuSe2
_cell_length_a 6.165
_cell_length_b 14.511
_cell_length_c 5.883
_cell_angle_alpha 90.00
_cell_angle_beta 90.00
_cell_angle_gamma 90.00
_symmetry_space_group_name_H-M 'C m m e'
_symmetry_Int_Tables_number 67
_symmetry_space_group_name_Hall '-C 2a 2'
loop_
_atom_site_label
_atom_site_fract_x
_atom_site_fract_y
_atom_site_fract_z
_atom_site_occupancy
Ba1 0.000 0.250 0.243 1
Ag1 0.250 0.000 0.500 1
Au1 0.000 0.000 0.000 1
Se1 0.000 0.134 0.739 1
# Formation energy (no corrections) ... -81 kJ/mol of atoms
# Magnetic moment ... 0.0 μB per cell


# 5
# PBE BaSiAgAu2, relaxed
data_BaSiAgAu2
_cell_length_a 5.050
_cell_length_b 5.050
_cell_length_c 4.924
_cell_angle_alpha 90.00
_cell_angle_beta 90.00
_cell_angle_gamma 90.00
_symmetry_space_group_name_H-M 'P 4/m m m'
_symmetry_Int_Tables_number 123
_symmetry_space_group_name_Hall '-P 4 2'
loop_
_atom_site_label
_atom_site_fract_x
_atom_site_fract_y
_atom_site_fract_z
_atom_site_occupancy
Ba1 0.000 0.000 0.000 1
Si1 0.500 0.500 0.500 1
Ag1 0.500 0.500 0.000 1
Au1 0.000 0.500 0.500 1
# Formation energy (no corrections) ... -36 kJ/mol of atoms
# Magnetic moment ... 0.0 μB per cell


# 6
# PBE BaSi2AgAu5, relaxed
data_BaSi2AgAu5
_cell_length_a 4.824
_cell_length_b 4.824
_cell_length_c 8.897
_cell_angle_alpha 90.00
_cell_angle_beta 90.00
_cell_angle_gamma 90.00
_symmetry_space_group_name_H-M 'P 4/m m m'
_symmetry_Int_Tables_number 123
_symmetry_space_group_name_Hall '-P 4 2'
loop_
_atom_site_label
_atom_site_fract_x
_atom_site_fract_y
_atom_site_fract_z
_atom_site_occupancy
Ba1 0.000 0.000 0.000 1
Si1 0.500 0.500 0.272 1
Ag1 0.000 0.000 0.500 1
Au1 0.000 0.500 0.327 1
Au2 0.500 0.500 0.000 1
# Formation energy (no corrections) ... -24 kJ/mol of atoms
# Magnetic moment ... 0.0 μB per cell


# 7
# PBE Ba2SiAgAu6, relaxed
data_Ba2SiAgAu6
_cell_length_a 6.690
_cell_length_b 6.752
_cell_length_c 7.509
_cell_angle_alpha 63.75
_cell_angle_beta 63.74
_cell_angle_gamma 60.50
_symmetry_space_group_name_H-M 'P -1'
_symmetry_Int_Tables_number 2
loop_
_symmetry_equiv_pos_as_xyz
'x,y,z'
'-x,-y,-z'
loop_
_atom_site_label
_atom_site_fract_x
_atom_site_fract_y
_atom_site_fract_z
_atom_site_occupancy
Ba1 0.220 0.218 0.341 1
Si1 0.000 0.000 0.000 1
Ag1 0.500 0.500 0.500 1
Au1 0.243 0.245 0.837 1
Au2 0.243 0.678 0.834 1
Au3 0.324 0.754 0.164 1
# Formation energy (no corrections) ... -44 kJ/mol of atoms
# Magnetic moment ... 0.0 μB per cell


# 8
# PBE Ba2SiAg2Au4, relaxed
data_Ba2SiAg2Au4
_cell_length_a 7.263
_cell_length_b 7.263
_cell_length_c 8.418
_cell_angle_alpha 90.00
_cell_angle_beta 90.00
_cell_angle_gamma 90.00
_symmetry_space_group_name_H-M 'I 4/m m m'
_symmetry_Int_Tables_number 139
_symmetry_space_group_name_Hall '-I 4 2'
loop_
_atom_site_label
_atom_site_fract_x
_atom_site_fract_y
_atom_site_fract_z
_atom_site_occupancy
Ba1 0.000 0.500 0.250 1
Si1 0.000 0.000 0.000 1
Ag1 0.000 0.000 0.331 1
Au1 0.246 0.246 0.000 1
# Formation energy (no corrections) ... -37 kJ/mol of atoms
# Magnetic moment ... 0.0 μB per cell